(1)
VASP calculation (PBE) on a relaxed Dy4Tm2Sc5 crystal.

Summary:
The energy of formation from the pure elements comes out at 51 meV/atom. The calculation puts the energy above the most stable polymorph in this dataset at 0 meV per atom. The density is 6561 kg/m3. The space group is No. 12. The density of states at the Fermi level is 17.3 states/eV per cell. The total energy comes out at -58.446 eV/cell.

abc: 4.830 7.573 9.002
angles: 75.92 105.56 90.00
Fractional positions:
Dy1 0.318 0.914 0.636
Dy2 0.954 0.735 0.909
Dy3 0.682 0.086 0.364
Dy4 0.046 0.265 0.091
Tm1 0.407 0.449 0.814
Tm2 0.593 0.551 0.186
Sc1 0.773 0.630 0.546
Sc2 0.227 0.370 0.454
Sc3 0.861 0.189 0.722
Sc4 0.500 0.000 0.000
Sc5 0.139 0.811 0.278

(2)
VASP calculation (PBE) on a relaxed Dy3Tm4Sc4 crystal.

Summary:
The energy of formation from the pure elements comes out at 49 meV/atom. The calculation puts the energy above the most stable polymorph in this dataset at 0 meV per atom. The density is 7172 kg/m3. The space group is No. 71. The density of states at the Fermi level is 15.9 states/eV per cell. The total energy comes out at -56.477 eV/cell.

abc: 3.432 4.816 19.046
angles: 97.26 95.16 89.99
Fractional positions:
Dy1 0.637 0.637 0.275
Dy2 0.363 0.363 0.725
Dy3 0.000 0.000 0.000
Tm1 0.547 0.547 0.094
Tm2 0.453 0.453 0.906
Tm3 0.816 0.816 0.631
Tm4 0.184 0.184 0.369
Sc1 0.092 0.092 0.184
Sc2 0.272 0.272 0.543
Sc3 0.728 0.728 0.457
Sc4 0.908 0.908 0.816

Copy entry 2 word for word.
VASP calculation (PBE) on a relaxed Dy3Tm4Sc4 crystal.

Summary:
The energy of formation from the pure elements comes out at 49 meV/atom. The calculation puts the energy above the most stable polymorph in this dataset at 0 meV per atom. The density is 7172 kg/m3. The space group is No. 71. The density of states at the Fermi level is 15.9 states/eV per cell. The total energy comes out at -56.477 eV/cell.

abc: 3.432 4.816 19.046
angles: 97.26 95.16 89.99
Fractional positions:
Dy1 0.637 0.637 0.275
Dy2 0.363 0.363 0.725
Dy3 0.000 0.000 0.000
Tm1 0.547 0.547 0.094
Tm2 0.453 0.453 0.906
Tm3 0.816 0.816 0.631
Tm4 0.184 0.184 0.369
Sc1 0.092 0.092 0.184
Sc2 0.272 0.272 0.543
Sc3 0.728 0.728 0.457
Sc4 0.908 0.908 0.816